(1)
Density functional theory data (PBE) for a relaxed VW2N crystal.

Computed properties:
energy relative to the elements, uncorrected: 0.48 eV/atom
SG: R-3m, No. 166
M_tot: 0.00 μB per formula unit

Geometry as extended XYZ:
```
4
Lattice="-2.351 -1.009 1.072 -1.497 -1.845 -1.431 2.892 -7.014 3.328" Properties=species:S:1:pos:R:3 pbc="T T T"
W 1.573 -5.098 2.239
W -2.529 -4.770 0.731
N -0.478 -4.934 1.485
V 0.000 0.000 0.000
```


(2)
Density functional theory data (PBE) for a relaxed V2WN crystal.

Computed properties:
energy relative to the elements, uncorrected: -0.21 eV/atom
SG: R-3m, No. 166
M_tot: 0.00 μB per formula unit

Geometry as extended XYZ:
```
4
Lattice="2.829 0.000 0.000 1.414 2.450 0.000 1.414 0.817 7.319" Properties=species:S:1:pos:R:3 pbc="T T T"
N 2.829 1.633 3.660
V 4.243 2.450 2.524
V 1.414 0.817 4.796
W 0.000 0.000 0.000
```


(3)
Density functional theory data (PBE) for a relaxed VWN3 crystal.

Computed properties:
energy relative to the elements, uncorrected: -0.29 eV/atom
SG: P-1, No. 2
M_tot: 0.00 μB per formula unit

Geometry as extended XYZ:
```
20
Lattice="1.312 -4.651 2.392 2.267 -0.902 -6.219 6.465 3.771 4.535" Properties=species:S:1:pos:R:3 pbc="T T T"
V 3.940 -2.643 -0.217
V 2.176 -1.677 -2.586
V 7.868 -0.105 3.295
V 6.105 0.861 0.926
N 7.096 2.399 0.871
N 3.188 -1.853 1.390
N 8.883 -2.001 0.200
N 2.949 -4.181 -0.163
N 4.321 1.038 0.926
N 6.681 -0.700 1.904
N 6.857 0.071 -0.681
N 1.162 0.219 0.509
N 3.034 -2.799 -3.687
N 7.010 1.018 4.396
N 5.724 -2.820 -0.217
N 3.363 -1.082 -1.195
W 3.025 -0.198 0.455
W 7.020 -1.584 0.254
W 8.234 1.463 -0.794
W 1.810 -3.245 1.502
```


(4)
Density functional theory data (PBE) for a relaxed VWN3 crystal.

Computed properties:
energy relative to the elements, uncorrected: 0.81 eV/atom
SG: Pm-3m, No. 221
M_tot: 1.40 μB per formula unit

Geometry as extended XYZ:
```
5
Lattice="-2.199 -1.680 -2.510 -2.446 -0.830 2.699 -1.771 3.232 -0.612" Properties=species:S:1:pos:R:3 pbc="T T T"
W -3.208 0.361 -0.211
N -0.885 1.616 -0.306
N -1.223 -0.415 1.349
N -1.099 -0.840 -1.255
V 0.000 0.000 0.000
```


(5)
Density functional theory data (PBE) for a relaxed VWN2 crystal.

Computed properties:
energy relative to the elements, uncorrected: -0.36 eV/atom
SG: I-42d, No. 122
M_tot: 1.16 μB per formula unit

Geometry as extended XYZ:
```
8
Lattice="4.581 0.000 0.000 0.000 4.581 0.000 2.291 2.291 4.542" Properties=species:S:1:pos:R:3 pbc="T T T"
V 2.291 4.581 2.271
V 2.291 2.291 0.000
N 1.193 3.436 1.136
N 5.727 5.679 3.407
N 3.388 1.145 1.136
N 3.436 3.484 3.407
W 0.000 0.000 0.000
W 4.581 2.291 2.271
```


(6)
Density functional theory data (PBE) for a relaxed VW3N crystal.

Computed properties:
relative energy among the computed polymorphs: 2.711 eV/atom
energy relative to the elements, uncorrected: 2.80 eV/atom
SG: Pm-3m, No. 221
M_tot: 0.00 μB per formula unit

Geometry as extended XYZ:
```
5
Lattice="4.502 0.000 0.000 0.000 4.502 0.000 0.000 0.000 4.502" Properties=species:S:1:pos:R:3 pbc="T T T"
N 2.251 2.251 2.251
W 0.000 0.000 2.251
W 2.251 0.000 0.000
W 0.000 2.251 0.000
V 0.000 0.000 0.000
```